ScCu3 | PBE-GGA | optimized geometry

POSCAR file:
```
ScCu3
1.0
4.1377 0.0000 0.0000
0.0000 4.1377 0.0000
-2.0688 -2.0688 6.7642
Cu Sc
6 2
Cartesian
0.0000 2.0688 3.3821
0.0000 2.0688 0.0000
2.0688 0.0000 3.3821
2.0688 2.0688 5.1068
0.0000 0.0000 1.6574
2.0688 0.0000 0.0000
0.0000 0.0000 5.0127
2.0688 2.0688 1.7514
```

Crystal system: tetragonal
Energy of formation from the pure elements in eV/atom: -0.12
Total moment in μB/cell: 0.0